# 1
Computed, not measured: a relaxed Er2HfRh4 crystal at the GGA-PBE level of DFT.

a b c (Å): 4.6447 4.6447 12.5686
angles (deg): 90.00 90.00 90.00
With the nearest neighbours (Å) after each atom.
Space group I4/mmm (No. 139)
Unique sites:
1 Er 0.0000 0.0000 0.2324 x4  8 Rh 2.75-3.01
2 Hf 0.0000 0.0000 0.5000 x2  8 Rh 2.74
3 Rh 0.0000 0.5000 0.1154 x8  2 Hf 2.74, 4 Er 2.75-3.01, 1 Rh 2.90

Output
The calculation puts the energy relative to the elements at -14.5 kcal/mol of atoms. As for the final energy: -7.55 eV per atom.


# 2
Computed, not measured: a relaxed Sr2Be2Ru crystal at the GGA-PBE level of DFT.

a b c (Å): 5.9003 5.9003 6.7242
angles (deg): 90.00 90.00 90.00
With the nearest neighbours (Å) after each atom.
Space group I4/mmm (No. 139)
Unique sites:
1 Sr 0.0000 0.5000 0.2500 x4  4 Be 3.01, 2 Sr 3.36
2 Be 0.0000 0.0000 0.1636 x4  1 Be 2.20, 1 Ru 2.26
3 Ru 0.0000 0.0000 0.5000 x2  2 Be 2.26

Output
Its excess energy over the best structure of this formula in the dataset is 0.069 eV per atom. The calculation puts the energy relative to the elements at 13.6 kcal/mol of atoms. As for the final energy: -3.43 eV per atom.


# 3
Computed, not measured: a relaxed Tb5Nd3Er crystal at the GGA-PBE level of DFT.

a b c (Å): 15.3355 11.4586 9.9720
angles (deg): 90.00 130.22 90.00
With the nearest neighbours (Å) after each atom.
Space group C2/m (No. 12)
Unique sites:
1 Tb 0.0000 0.2446 0.0000 x4  1 Nd 2.93
2 Tb 0.1572 0.2487 0.7482 x8  2 Tb 3.31-3.35, 2 Nd 3.51-3.62
3 Tb 0.2211 0.0000 0.2275 x4  3 Nd 3.22-3.41, 3 Tb 3.28-3.35, 1 Er 3.43
4 Tb 0.2227 0.5000 0.0392 x4  3 Nd 3.18-3.37, 3 Tb 3.28-3.31, 1 Er 3.36
5 Nd 0.0000 0.0000 0.5000 x2  2 Nd 3.04, 2 Er 3.31
6 Nd 0.0000 0.5000 0.0000 x2  4 Tb 2.93-3.18
7 Nd 0.0076 0.0000 0.8120 x4  1 Nd 3.04, 3 Tb 3.22-3.37
8 Nd 0.0205 0.5000 0.3586 x4  1 Er 3.24, 4 Tb 3.25-3.62, 2 Nd 3.26-3.38
9 Er 0.2478 0.5000 0.3998 x4  4 Nd 3.24-3.41, 2 Tb 3.36-3.43

Output
The calculation puts the energy relative to the elements at 11.9 kcal/mol of atoms. As for the final energy: -4.15 eV per atom.


# 4
Computed, not measured: a relaxed PmN4 crystal at the GGA-PBE level of DFT.

a b c (Å): 4.8176 4.8176 4.8176
angles (deg): 90.00 90.00 90.00
With the nearest neighbours (Å) after each atom.
Space group Pm-3m (No. 221)
Unique sites:
1 Pm 0.0000 0.0000 0.0000 x1  6 N 2.41
2 N 0.0000 0.0000 0.5000 x3  2 Pm 2.41
3 N 0.5000 0.5000 0.5000 x1  12 N 3.41

Output
Its excess energy over the best structure of this formula in the dataset is 2.840 eV per atom. As for the final energy: -5.01 eV per atom. The value obtained for the uncorrected formation energy is 13.0 eV per formula unit.